Entry 1:
# Ca8Hg2Au, optimized geometry, DFT PBE
# **D(E_F)**: 23.766 states/eV/cell
# **Total energy**: -2.177 eV per atom
# **E_form**: -35.5 kJ per mole of atoms
# **V**: 709 Å³ per cell
data_Ca8Hg2Au
_symmetry_space_group_name_H-M 'C 1 2/m 1'
_symmetry_Int_Tables_number 12
_symmetry_space_group_name_Hall '-C 2y'
_cell_length_a 18.937
_cell_length_b 5.327
_cell_length_c 7.353
_cell_angle_alpha 90.00
_cell_angle_beta 107.01
_cell_angle_gamma 90.00
loop_
_atom_site_label
_atom_site_type_symbol
_atom_site_fract_x
_atom_site_fract_y
_atom_site_fract_z
_atom_site_occupancy
Ca1 Ca 0.029 0.000 0.293 1
Ca2 Ca 0.094 0.500 0.940 1
Ca3 Ca 0.161 0.500 0.466 1
Ca4 Ca 0.208 0.000 0.812 1
Hg1 Hg 0.184 0.000 0.215 1
Au1 Au 0.000 0.500 0.500 1


Entry 2:
# TcHAu3, optimized geometry, DFT PBE
# **D(E_F)**: 5.889 states/eV/cell
# **Total energy**: -3.121 eV per atom
# **Relative energy among the computed polymorphs**: 933 meV per atom
# **V**: 130 Å³ per cell
data_TcHAu3
_symmetry_space_group_name_H-M 'P m -3 m'
_symmetry_Int_Tables_number 221
_symmetry_space_group_name_Hall '-P 4 2 3'
_cell_length_a 5.068
_cell_length_b 5.068
_cell_length_c 5.068
_cell_angle_alpha 90.00
_cell_angle_beta 90.00
_cell_angle_gamma 90.00
loop_
_atom_site_label
_atom_site_type_symbol
_atom_site_fract_x
_atom_site_fract_y
_atom_site_fract_z
_atom_site_occupancy
Tc1 Tc 0.000 0.000 0.000 1
H1 H 0.500 0.500 0.500 1
Au1 Au 0.000 0.000 0.500 1


Entry 3:
# HoSc2IO8, optimized geometry, DFT PBE
# **Total energy**: -7.183 eV per atom
# **Energy relative to the elements, uncorrected**: -2311 meV/atom
# **V**: 309 Å³ per cell
data_HoSc2IO8
_symmetry_space_group_name_H-M 'C m m m'
_symmetry_Int_Tables_number 65
_symmetry_space_group_name_Hall '-C 2 2'
_cell_length_a 6.846
_cell_length_b 6.854
_cell_length_c 6.586
_cell_angle_alpha 90.00
_cell_angle_beta 90.00
_cell_angle_gamma 90.00
loop_
_atom_site_label
_atom_site_type_symbol
_atom_site_fract_x
_atom_site_fract_y
_atom_site_fract_z
_atom_site_occupancy
Ho1 Ho 0.000 0.000 0.000 1
Sc1 Sc 0.000 0.500 0.242 1
I1 I 0.000 0.000 0.500 1
O1 O 0.000 0.189 0.287 1
O2 O 0.183 0.500 0.000 1
O3 O 0.222 0.500 0.500 1


Entry 4:
# MnBrCl, optimized geometry, DFT PBE
# **D(E_F)**: 0.178 states/eV/cell
# **Total energy**: -4.969 eV per atom
# **Energy relative to the elements, uncorrected**: -740 meV/atom
# **Relative energy among the computed polymorphs**: 193 meV per atom
# **V**: 410 Å³ per cell
data_MnBrCl
_symmetry_space_group_name_H-M 'F m m 2'
_symmetry_Int_Tables_number 42
_symmetry_space_group_name_Hall 'F 2 -2'
_cell_length_a 3.631
_cell_length_b 7.811
_cell_length_c 14.438
_cell_angle_alpha 90.00
_cell_angle_beta 90.00
_cell_angle_gamma 90.00
loop_
_atom_site_label
_atom_site_type_symbol
_atom_site_fract_x
_atom_site_fract_y
_atom_site_fract_z
_atom_site_occupancy
Mn1 Mn 0.000 0.000 0.000 1
Br1 Br 0.000 0.000 0.625 1
Cl1 Cl 0.000 0.000 0.389 1